The following is a GGA-PBE calculation of a relaxed structure of TcGe, from Alexandria.

Lattice parameters (Å, degrees): 3.2184 3.2184 5.7154 90.00 90.00 90.00
With the nearest neighbours (Å) after each atom.
Atoms (fractional coordinates):
Tc: 0.2500 0.2500 0.1599  5 Ge 2.54-2.75
Tc: 0.7500 0.7500 0.8401  5 Ge 2.54-2.75
Ge: 0.2500 0.2500 0.6408  5 Tc 2.54-2.75, 4 Ge 2.79
Ge: 0.7500 0.7500 0.3592  5 Tc 2.54-2.75, 4 Ge 2.79

Computed properties:
space group	P4/nmm (129)
spin magnetization	0.0	Bohr magnetons per cell
offset from the most stable computed form	0.099	eV/atom

---

The following is a GGA-PBE calculation of a relaxed structure of CuSnPtO4, from Alexandria.

Lattice parameters (Å, degrees): 6.4774 6.4774 6.4774 123.58 121.93 85.30
With the nearest neighbours (Å) after each atom.
Atoms (fractional coordinates):
Cu: 0.3878 0.1378 0.2500  4 O 2.02-2.19
Cu: 0.6122 0.8622 0.7500  4 O 2.02-2.19
Sn: 0.0000 0.5000 0.5000  6 O 2.11-2.16
Sn: 0.5000 0.5000 0.0000  6 O 2.11-2.16
Pt: 0.0000 0.0000 0.5000  4 O 2.07
Pt: 0.0000 0.5000 0.0000  4 O 2.07
O: 0.1949 0.7258 0.4691  2 Pt 2.07, 1 Sn 2.16, 1 Cu 2.19
O: 0.2433 0.2742 0.9691  2 Pt 2.07, 1 Sn 2.16, 1 Cu 2.19
O: 0.2672 0.2879 0.5206  1 Cu 2.02, 2 Sn 2.11
O: 0.2672 0.7466 0.9794  1 Cu 2.02, 2 Sn 2.11
O: 0.7328 0.2534 0.0206  1 Cu 2.02, 2 Sn 2.11
O: 0.7328 0.7121 0.4794  1 Cu 2.02, 2 Sn 2.11
O: 0.7567 0.7258 0.0309  2 Pt 2.07, 1 Sn 2.16, 1 Cu 2.19
O: 0.8051 0.2742 0.5309  2 Pt 2.07, 1 Sn 2.16, 1 Cu 2.19

Computed properties:
space group	Imma (74)
spin magnetization	2.0	Bohr magnetons per cell
uncorrected energy	-5.62	eV/atom

---

The following is a GGA-PBE calculation of a relaxed structure of NaLiLa2, from Alexandria.

Lattice parameters (Å, degrees): 7.1576 7.1576 7.1576 101.71 101.71 126.46
With the nearest neighbours (Å) after each atom.
Atoms (fractional coordinates):
Na: 0.0000 0.0000 0.0000  2 Li 3.22, 4 La 3.38
Na: 0.7500 0.2500 0.5000  2 Li 3.22, 4 La 3.38
Li: 0.2500 0.7500 0.5000  4 La 3.21, 2 Na 3.22
Li: 0.5000 0.5000 0.0000  4 La 3.21, 2 Na 3.22
La: 0.1392 0.1250 0.5142  2 Li 3.21, 2 La 3.23, 2 Na 3.38
La: 0.3750 0.8608 0.9858  2 Li 3.21, 2 La 3.23, 2 Na 3.38
La: 0.6108 0.6250 0.4858  2 Li 3.21, 2 La 3.23, 2 Na 3.38
La: 0.8750 0.3892 0.0142  2 Li 3.21, 2 La 3.23, 2 Na 3.38

Computed properties:
space group	I-42d (122)
spin magnetization	0.0	Bohr magnetons per cell
offset from the most stable computed form	0.162	eV/atom

---

The following is a GGA-PBE calculation of a relaxed structure of Ce2Ni15Rh2, from Alexandria.

Lattice parameters (Å, degrees): 6.3259 6.3259 6.3259 83.17 83.17 83.17
With the nearest neighbours (Å) after each atom.
Atoms (fractional coordinates):
Ce: 0.1621 0.1621 0.1621  1 Rh 2.82, 12 Ni 2.96-3.13
Ce: 0.8379 0.8379 0.8379  1 Rh 2.82, 12 Ni 2.96-3.13
Ni: 0.0000 0.5000 0.5000  8 Ni 2.40-2.45, 2 Rh 2.53
Ni: 0.1521 0.1521 0.6593  8 Ni 2.41-2.54, 1 Rh 2.61
Ni: 0.1521 0.6593 0.1521  8 Ni 2.41-2.54, 1 Rh 2.61
Ni: 0.2031 0.5000 0.7969  8 Ni 2.40-2.54
Ni: 0.2031 0.7969 0.5000  8 Ni 2.40-2.54
Ni: 0.3407 0.8479 0.8479  8 Ni 2.41-2.54, 1 Rh 2.61
Ni: 0.5000 0.0000 0.5000  8 Ni 2.40-2.45, 2 Rh 2.53
Ni: 0.5000 0.2031 0.7969  8 Ni 2.40-2.54
Ni: 0.5000 0.5000 0.0000  8 Ni 2.40-2.45, 2 Rh 2.53
Ni: 0.5000 0.7969 0.2031  8 Ni 2.40-2.54
Ni: 0.6593 0.1521 0.1521  8 Ni 2.41-2.54, 1 Rh 2.61
Ni: 0.7969 0.2031 0.5000  8 Ni 2.40-2.54
Ni: 0.7969 0.5000 0.2031  8 Ni 2.40-2.54
Ni: 0.8479 0.3407 0.8479  8 Ni 2.41-2.54, 1 Rh 2.61
Ni: 0.8479 0.8479 0.3407  8 Ni 2.41-2.54, 1 Rh 2.61
Rh: 0.3937 0.3937 0.3937  12 Ni 2.53-2.81, 1 Rh 2.59, 1 Ce 2.82
Rh: 0.6063 0.6063 0.6063  12 Ni 2.53-2.81, 1 Rh 2.59, 1 Ce 2.82

Computed properties:
space group	R-3m (166)
spin magnetization	6.3	Bohr magnetons per cell
uncorrected energy	-6.17	eV/atom

---

The following is a GGA-PBE calculation of a relaxed structure of K2ZrRe, from Alexandria.

Lattice parameters (Å, degrees): 2.8225 2.8225 12.7950 90.00 90.00 90.00
With the nearest neighbours (Å) after each atom.
Atoms (fractional coordinates):
K: 0.0000 0.0000 0.2202  4 K 2.82
K: 0.0000 0.0000 0.7798  4 K 2.82
Zr: 0.5000 0.5000 0.5000  4 Zr 2.82
Re: 0.5000 0.5000 0.0000  4 Re 2.82

Computed properties:
space group	P4/mmm (123)
spin magnetization	0.0	Bohr magnetons per cell
offset from the most stable computed form	0.690	eV/atom

---

The following is a GGA-PBE calculation of a relaxed structure of La4CdCu2, from Alexandria.

Lattice parameters (Å, degrees): 9.2303 9.2303 9.2303 32.78 32.78 32.78
With the nearest neighbours (Å) after each atom.
Atoms (fractional coordinates):
La: 0.1154 0.1154 0.1154  3 Cu 3.27, 3 Cd 3.29, 3 La 3.52
La: 0.2876 0.2876 0.2876  4 Cu 2.93-3.05
La: 0.7124 0.7124 0.7124  4 Cu 2.93-3.05
La: 0.8846 0.8846 0.8846  3 Cu 3.27, 3 Cd 3.29, 3 La 3.52
Cd: 0.5000 0.5000 0.5000  2 Cu 2.63
Cu: 0.3995 0.3995 0.3995  1 Cd 2.63, 1 La 2.93
Cu: 0.6005 0.6005 0.6005  1 Cd 2.63, 1 La 2.93

Computed properties:
space group	R-3m (166)
spin magnetization	0.0	Bohr magnetons per cell
uncorrected energy	-4.15	eV/atom

---

The following is a GGA-PBE calculation of a relaxed structure of BaCd2Cl, from Alexandria.

Lattice parameters (Å, degrees): 9.7113 9.7113 9.7113 24.54 24.54 24.54
With the nearest neighbours (Å) after each atom.
Atoms (fractional coordinates):
Ba: 0.0000 0.0000 0.0000  6 Cd 3.65
Cd: 0.2355 0.2355 0.2355  3 Cl 3.08
Cd: 0.7645 0.7645 0.7645  3 Cl 3.08
Cl: 0.5000 0.5000 0.5000  6 Cd 3.08

Computed properties:
space group	R-3m (166)
spin magnetization	0.6	Bohr magnetons per cell
offset from the most stable computed form	0.420	eV/atom

---

The following is a GGA-PBE calculation of a relaxed structure of MnTlSe4, from Alexandria.

Lattice parameters (Å, degrees): 7.5212 7.5212 5.9490 100.75 100.75 107.30
With the nearest neighbours (Å) after each atom.
Atoms (fractional coordinates):
Mn: 0.0749 0.9251 0.7500  6 Se 2.43-2.50
Mn: 0.9251 0.0749 0.2500  6 Se 2.43-2.50
Tl: 0.4287 0.5713 0.7500  4 Se 3.08-3.32, 2 Tl 3.44
Tl: 0.5713 0.4287 0.2500  4 Se 3.08-3.32, 2 Tl 3.44
Se: 0.0884 0.6472 0.4572  1 Se 2.42, 1 Mn 2.50
Se: 0.1004 0.2377 0.9998  2 Mn 2.43-2.47
Se: 0.2377 0.1004 0.4998  2 Mn 2.43-2.47
Se: 0.3528 0.9116 0.0428  1 Se 2.42, 1 Mn 2.50
Se: 0.6472 0.0884 0.9572  1 Se 2.42, 1 Mn 2.50
Se: 0.7623 0.8996 0.5002  2 Mn 2.43-2.47
Se: 0.8996 0.7623 0.0002  2 Mn 2.43-2.47
Se: 0.9116 0.3528 0.5428  1 Se 2.42, 1 Mn 2.50

Computed properties:
space group	C2/c (15)
spin magnetization	4.9	Bohr magnetons per cell
offset from the most stable computed form	0.000	eV/atom